Here is an optimized crystal structure of Cs2ErMgF6 from the Alexandria database. Energies are from PBE-GGA.

Properties
The space group is Immm, No. 71. For the density of states at the Fermi level, the calculation gives 2.20 states/eV/cell. The uncorrected formation energy is -3.091 eV/atom. For the magnetization, the calculation gives 0.92 Bohr magnetons per cell.

Cell and atoms, written as CIF:
```
data_Cs2ErMgF6
_chemical_formula_sum 'Cs2 Er1 Mg1 F6'
_cell_length_a 6.2541
_cell_length_b 6.2541
_cell_length_c 6.2541
_cell_angle_alpha 121.96
_cell_angle_beta 116.25
_cell_angle_gamma 91.63
_symmetry_space_group_name_H-M 'P 1'
_symmetry_Int_Tables_number 1
loop_
_symmetry_equiv_pos_as_xyz
'x,y,z'
loop_
_atom_site_label
_atom_site_type_symbol
_atom_site_fract_x
_atom_site_fract_y
_atom_site_fract_z
_atom_site_occupancy
Cs1 Cs 0.2426 0.2426 0.0000 1
Cs2 Cs 0.7574 0.7574 0.0000 1
Er1 Er 0.0000 0.5000 0.5000 1
Mg1 Mg 0.5000 0.0000 0.5000 1
F1 F 0.2554 0.7554 0.5000 1
F2 F 0.2840 0.2522 0.5362 1
F3 F 0.2840 0.7478 0.0319 1
F4 F 0.7160 0.2522 0.9681 1
F5 F 0.7160 0.7478 0.4638 1
F6 F 0.7446 0.2446 0.5000 1
```



Here is an optimized crystal structure of CoNi2Cl from the Alexandria database. Energies are from PBE-GGA.

Properties
The space group is P4/mmm, No. 123. For the density of states at the Fermi level, the calculation gives 5.58 states/eV/cell. The uncorrected formation energy is 0.344 eV/atom. For the magnetization, the calculation gives 3.27 Bohr magnetons per cell. The value obtained for the energy above the most stable polymorph in this dataset is 129 meV/atom.

Cell and atoms, written as CIF:
```
data_CoNi2Cl
_chemical_formula_sum 'Co1 Ni2 Cl1'
_cell_length_a 2.8544
_cell_length_b 2.8544
_cell_length_c 6.3716
_cell_angle_alpha 90.00
_cell_angle_beta 90.00
_cell_angle_gamma 90.00
_symmetry_space_group_name_H-M 'P 1'
_symmetry_Int_Tables_number 1
loop_
_symmetry_equiv_pos_as_xyz
'x,y,z'
loop_
_atom_site_label
_atom_site_type_symbol
_atom_site_fract_x
_atom_site_fract_y
_atom_site_fract_z
_atom_site_occupancy
Co1 Co 0.0000 0.0000 0.0000 1
Ni1 Ni 0.5000 0.5000 0.2229 1
Ni2 Ni 0.5000 0.5000 0.7771 1
Cl1 Cl 0.0000 0.0000 0.5000 1
```



Here is an optimized crystal structure of Re2RuSe from the Alexandria database. Energies are from PBE-GGA.

Properties
The space group is Pmmm, No. 47. For the density of states at the Fermi level, the calculation gives 3.68 states/eV/cell. The uncorrected formation energy is 0.574 eV/atom. For the magnetization, the calculation gives 0.00 Bohr magnetons per cell. The value obtained for the energy above the most stable polymorph in this dataset is 325 meV/atom.

Cell and atoms, written as CIF:
```
data_Re2RuSe
_chemical_formula_sum 'Re2 Ru1 Se1'
_cell_length_a 2.9529
_cell_length_b 4.4548
_cell_length_c 4.6195
_cell_angle_alpha 90.00
_cell_angle_beta 90.00
_cell_angle_gamma 90.00
_symmetry_space_group_name_H-M 'P 1'
_symmetry_Int_Tables_number 1
loop_
_symmetry_equiv_pos_as_xyz
'x,y,z'
loop_
_atom_site_label
_atom_site_type_symbol
_atom_site_fract_x
_atom_site_fract_y
_atom_site_fract_z
_atom_site_occupancy
Re1 Re 0.0000 0.0000 0.0000 1
Re2 Re 0.5000 0.5000 0.0000 1
Ru1 Ru 0.0000 0.5000 0.5000 1
Se1 Se 0.5000 0.0000 0.5000 1
```